Material: Tb5AgHg2
Method: DFT, PBE-GGA
State: relaxed

POSCAR file:
```
Tb5AgHg2
1.0
-5.105 4.805 3.726
-5.980 -3.088 -4.212
4.564 -5.765 5.229
Tb Hg Ag
10 4 2
Direct
0.006 0.506 0.694
0.187 0.006 0.694
0.506 0.687 0.694
0.000 0.000 0.000
0.500 0.500 0.000
0.313 0.813 0.306
0.813 0.994 0.306
0.494 0.313 0.306
0.687 0.187 0.694
0.994 0.494 0.306
0.865 0.635 0.000
0.135 0.365 0.000
0.635 0.135 0.000
0.365 0.865 0.000
0.750 0.750 0.500
0.250 0.250 0.500
```

## Properties
The space group is I4/mcm (140). As for the electronic total energy: -3.576 eV per atom. Its energy relative to the elements is -0.2504 eV/atom.